Below is Sr2Al2O at its PBEsol-relaxed geometry, with properties calculated at the SCAN level.

Cell: 3.581 3.581 9.020 Å, 101.45 101.45 90.00°
Fractional positions:
O (0.000, 0.000, 0.000)
Al (0.750, 0.250, 0.500)
Sr (0.414, 0.414, 0.827)
Sr (0.586, 0.586, 0.173)
Al (0.250, 0.750, 0.500)

The calculation puts the uncorrected formation energy at -744 meV per atom. As for the space group: I4/mmm (139). Its electronic total energy is -14.001 eV/atom.